# 1
TmZr2S4 | PBE-GGA | optimized geometry

## Properties
Density (g cm⁻³): 5.64
Symmetry: Cmcm
Spin magnetization (μB per atom): 0.0000
Crystal system: orthorhombic
Formation energy from raw total energies (eV/atom): -1.66

```
TmZr2S4
1.0
-2.8526 1.4540 1.6505
1.7198 -4.9539 3.4056
7.9676 7.6186 7.0587
S Zr Tm
8 4 2
Direct
0.2151 0.4303 0.6269 S
0.7849 0.5697 0.1269 S
0.5000 0.0000 0.5000 S
0.9470 0.8940 0.7500 S
0.0530 0.1060 0.2500 S
0.2151 0.4303 0.8731 S
0.5000 0.0000 0.0000 S
0.7849 0.5697 0.3731 S
0.8549 0.7098 0.5597 Zr
0.8549 0.7098 0.9403 Zr
0.1451 0.2902 0.4403 Zr
0.1451 0.2902 0.0597 Zr
0.6110 0.2220 0.7500 Tm
0.3890 0.7780 0.2500 Tm
```

---

# 2
Na3TiCr | PBE-GGA | optimized geometry

## Properties
ΔH_f (0 K) (kJ/mol of atoms): 141.5
Density (g cm⁻³): 1.71
Symmetry: Pm-3m
Energy above the lowest structure with this stoichiometry (meV per atom): 0
Spin magnetization (μB per atom): 1.0470
Crystal system: cubic

```
Na3TiCr
1.0
-1.0805 -3.3276 -4.2073
1.8732 -4.2556 2.8848
-5.0264 -0.8706 1.9794
Cr Na Ti
1 3 1
Direct
0.0000 0.0000 0.0000 Cr
0.0000 0.0000 0.5000 Na
0.5000 0.0000 0.0000 Na
0.0000 0.5000 0.0000 Na
0.5000 0.5000 0.5000 Ti
```

---

# 3
V5Si2B | PBE-GGA | optimized geometry

## Properties
Density (g cm⁻³): 5.42
Symmetry: I4/mcm
Spin magnetization (μB per atom): 0.0000
Crystal system: tetragonal
Formation energy from raw total energies (eV/atom): -0.39

```
V5Si2B
1.0
-4.2004 2.9478 4.5835
-6.1296 -2.7395 -1.5052
5.9181 -3.2966 1.2042
V Si B
10 4 2
Direct
0.9912 0.4912 0.1648 V
0.6737 0.1737 0.1648 V
0.5000 0.5000 0.0000 V
0.4912 0.3263 0.5000 V
0.8263 0.9912 0.5000 V
0.0000 0.0000 0.0000 V
0.3263 0.8263 0.8352 V
0.5088 0.6737 0.5000 V
0.0088 0.5088 0.8352 V
0.1737 0.0088 0.5000 V
0.3667 0.8667 0.2334 Si
0.8667 0.6333 0.5000 Si
0.6333 0.1333 0.7666 Si
0.1333 0.3667 0.5000 Si
0.7500 0.7500 0.0000 B
0.2500 0.2500 0.0000 B
```

---

# 4
NbCu3Pt | PBE-GGA | optimized geometry

## Properties
ΔH_f (0 K) (kJ/mol of atoms): 106.2
Density (g cm⁻³): 8.09
Symmetry: Pm-3m
Energy above the lowest structure with this stoichiometry (meV per atom): 0
Spin magnetization (μB per atom): 0.6049
Crystal system: cubic

```
NbCu3Pt
1.0
-1.1318 2.7439 3.5325
-4.1194 0.7806 -1.9262
-1.7431 -3.6264 2.2583
Cu Nb Pt
3 1 1
Direct
0.5000 0.0000 0.0000 Cu
0.0000 0.0000 0.5000 Cu
0.0000 0.5000 0.0000 Cu
0.5000 0.5000 0.5000 Nb
0.0000 0.0000 0.0000 Pt
```